Material: Bi2S2N
Method: DFT, GGA-PBEsol
State: optimized geometry

Electronic total energy (Ry/atom): -0.3520
Uncorrected formation energy (eV per atom): 0.384

Cell lengths 5.230, 5.230, 12.235 Å; angles 90.00, 90.00, 90.00 degrees
Space group I4/mmm (No. 139)
Asymmetric unit:
1 Bi 0.000 0.000 0.165 x4
2 S 0.000 0.500 0.250 x4
3 N 0.000 0.000 0.000 x2